Here is a relaxed CdH4Pt7 crystal from Alexandria via LeMat-Bulk. Energies are from PBE.

extended XYZ file:
```
24
Lattice="-1.7197 -0.2955 -4.7656 -0.6653 -4.8748 0.5423 -10.7308 1.8824 3.7557" Properties=species:S:1:pos:R:3 pbc="T T T"
H -9.3076 0.6952 -0.0300
Pt -4.5080 -0.9267 -3.5157
Pt -3.9721 -3.4278 -0.8518
Cd -1.7481 -1.2937 -4.3464
Pt -1.2969 -3.9476 -1.7271
Pt -9.3742 -2.4802 1.0389
H -7.1462 -0.8329 1.8549
Pt -6.1445 -3.0839 -2.6277
Cd -6.6413 -3.0452 0.2303
Pt -2.2314 -1.2527 -1.4511
H -4.6116 -1.2775 0.9678
Pt -7.1464 -0.4006 -2.5384
Pt -3.4727 -3.5451 -3.8083
Pt -9.8368 0.0080 -1.6507
H -10.9688 -1.4509 0.5705
H -2.7726 -2.8887 -2.2981
Pt -11.5710 -2.1245 -0.9740
H -3.7038 -0.2878 -1.9913
Pt -8.7525 -2.6264 -1.7149
Pt -5.0592 -0.8183 -0.7026
H -8.7233 -2.9646 2.6883
Pt -7.6917 -0.3565 0.2187
Pt -10.3543 0.1722 1.3918
H -3.5963 -3.8640 0.8939
```

mass density = 17.0 g/cm3
final energy = -4.702 eV per atom

---

Here is a relaxed V2Ir2Au crystal from Alexandria via LeMat-Bulk. Energies are from PBE.

extended XYZ file:
```
5
Lattice="4.0649 0.0000 0.0000 0.0000 4.0649 0.0000 2.0324 2.0324 5.1295" Properties=species:S:1:pos:R:3 pbc="T T T"
V 4.0649 2.0324 2.5647
Ir 2.0324 2.0324 1.2548
Ir 4.0649 4.0649 3.8747
Au 0.0000 0.0000 0.0000
V 2.0324 4.0649 2.5647
```

mass density = 13.4 g/cm3
formation energy from the elements = -0.09 eV/atom

---

Here is a relaxed Tb5Pr8Th crystal from Alexandria via LeMat-Bulk. Energies are from PBE.

extended XYZ file:
```
14
Lattice="2.6666 1.3350 -9.1372 -0.9362 -9.4965 1.3121 -6.3467 4.4485 2.3603" Properties=species:S:1:pos:R:3 pbc="T T T"
Pr -2.3189 -0.9497 -2.6275
Pr 0.6008 -4.4567 -5.1238
Pr -5.1873 2.3163 -0.0841
Pr -3.5608 -4.6367 0.9051
Tb -1.7447 1.2927 0.0388
Pr -1.0962 2.5665 -6.1075
Tb -0.9614 -2.1260 0.5168
Pr -4.8253 -3.5088 -2.2780
Pr -0.2560 -0.9078 -5.6585
Th -4.3220 -1.1436 0.3631
Pr -3.7389 0.1318 -5.8611
Tb -3.1663 2.4427 -3.1267
Tb -2.9454 -3.3947 -5.3521
Tb -0.5774 -8.0907 -1.6393
```

mass density = 7.1 g/cm3
formation energy from the elements = 0.14 eV/atom

---

Here is a relaxed Pm4CdSi3 crystal from Alexandria via LeMat-Bulk. Energies are from PBE.

extended XYZ file:
```
8
Lattice="-1.3820 -4.1486 0.7375 3.2957 -1.4277 -1.8551 5.4895 -0.0836 9.8171" Properties=species:S:1:pos:R:3 pbc="T T T"
Pm 2.9818 -2.8190 3.0625
Pm 0.8379 -0.0128 1.4984
Cd 1.3459 -2.7941 0.1371
Pm 2.8092 -2.1276 6.6283
Si 2.3808 -0.0363 4.2577
Pm 6.3253 -0.7851 7.4374
Si 4.3064 -2.1504 9.3058
Si 4.7980 -0.7618 4.7060
```

mass density = 6.4 g/cm3
formation energy without anion corrections = -0.6007 eV per atom

---

Here is a relaxed Zr2HgMo2 crystal from Alexandria via LeMat-Bulk. Energies are from PBE.

extended XYZ file:
```
10
Lattice="7.4851 0.0000 0.0000 0.0000 7.4851 0.0000 0.0000 0.0000 3.6214" Properties=species:S:1:pos:R:3 pbc="T T T"
Zr 5.1234 6.1043 1.8107
Mo 0.8235 2.9191 0.0000
Hg 0.0000 0.0000 0.0000
Hg 3.7426 3.7426 0.0000
Mo 6.6617 4.5660 0.0000
Mo 4.5660 0.8235 0.0000
Mo 2.9191 6.6617 0.0000
Zr 6.1043 2.3617 1.8107
Zr 2.3617 1.3809 1.8107
Zr 1.3809 5.1234 1.8107
```

mass density = 9.4 g/cm3
formation energy from the elements = 0.16 eV/atom

---

Here is a relaxed ZrTa4Re5 crystal from Alexandria via LeMat-Bulk. Energies are from PBE.

extended XYZ file:
```
10
Lattice="-0.2798 -1.0713 -3.0207 3.1066 0.6551 -0.5201 3.9607 -14.8827 4.9112" Properties=species:S:1:pos:R:3 pbc="T T T"
Zr 0.0000 0.0000 0.0000
Re 1.8383 -1.8047 -1.2435
Ta 2.3732 -8.9173 2.9427
Ta 0.8013 -3.0111 0.9936
Re 4.9492 -13.4942 2.6139
Ta 1.5876 -5.9654 1.9685
Re 4.1727 -10.5764 1.6511
Re 3.3937 -7.6494 0.6852
Ta 3.1594 -11.8717 3.9176
Re 2.6148 -4.7225 -0.2807
```

mass density = 17.3 g/cm3
formation energy from the elements = -0.39 eV/atom